(1)
First-principles (PBE) data for a geometry-optimized Rb2In2I7 structure, as listed in Alexandria.

energy above the most stable polymorph in this dataset = 0.0000 eV/atom
uncorrected formation energy = -828 meV per atom

abc: 7.270 9.564 18.309
angles: 90.00 90.00 100.27
Fractional positions:
1 Rb 0.645 0.930 0.150
2 Rb 0.355 0.570 0.650
3 Rb 0.355 0.070 0.850
4 Rb 0.645 0.430 0.350
5 In 0.813 0.645 0.889
6 In 0.187 0.355 0.111
7 In 0.813 0.145 0.611
8 In 0.187 0.855 0.389
9 I 0.000 0.000 0.500
10 I 0.000 0.500 0.000
11 I 0.294 0.107 0.051
12 I 0.706 0.393 0.551
13 I 0.706 0.893 0.949
14 I 0.294 0.607 0.449
15 I 0.041 0.257 0.731
16 I 0.041 0.757 0.769
17 I 0.959 0.243 0.231
18 I 0.959 0.743 0.269
19 I 0.486 0.967 0.663
20 I 0.486 0.467 0.837
21 I 0.514 0.533 0.163
22 I 0.514 0.033 0.337

(2)
First-principles (PBE) data for a geometry-optimized CrNiRh structure, as listed in Alexandria.

energy above the most stable polymorph in this dataset = 0.0783 eV/atom

abc: 4.067 4.067 2.581
angles: 90.00 90.00 120.00
Fractional positions:
1 Ni 0.667 0.333 0.167
2 Rh 0.333 0.667 0.667
3 Cr 0.000 0.000 0.167

(3)
First-principles (PBE) data for a geometry-optimized Ac2MgGa2 structure, as listed in Alexandria.

energy above the most stable polymorph in this dataset = 0.1210 eV/atom

abc: 6.499 7.340 8.218
angles: 116.52 113.29 90.00
Fractional positions:
1 Ac 0.854 0.674 0.707
2 Ac 0.146 0.326 0.293
3 Ac 0.646 0.967 0.293
4 Ac 0.354 0.033 0.707
5 Mg 0.750 0.500 0.000
6 Mg 0.250 0.500 0.000
7 Ga 0.393 0.629 0.786
8 Ga 0.607 0.371 0.214
9 Ga 0.107 0.842 0.214
10 Ga 0.893 0.158 0.786

no.,N(E_F) (states/eV per atom),ρ (g/cm3)
1,0.4433,3.42
2,1.1121,9.59
3,0.9431,6.52